Entry from the Alexandria database: Fe4O7F after structural relaxation (GGA+U).

The space group is Cc (No. 9) and the conventional cell measures 10.965, 9.165 and 5.497 Å, with angles of 90.00, 113.72 and 90.00 degrees. The inequivalent atoms are Fe at (0.000, 0.119, 0.000), Fe at (0.000, 0.380, 0.544), Fe at (0.243, 0.124, 0.521), Fe at (0.248, 0.377, 0.026), O at (0.072, 0.031, 0.346), O at (0.078, 0.475, 0.886), O at (0.170, 0.280, 0.684), O at (0.171, 0.223, 0.172), O at (0.326, 0.030, 0.871), O at (0.326, 0.471, 0.369), O at (0.419, 0.278, 0.172) and F at (0.423, 0.223, 0.674).

Its final energy is -0.223 Ha/atom. For the density of states at the Fermi level, the calculation gives 16.95 states/eV/cell.